# Cd2Ag4Sn PBE-GGA optimized geometry
# * E above lowest polymorph: 0.0 meV/atom
# * formation energy: 0.18 eV/f.u.
# * electronic total energy: -2.437 eV/atom
# * total magnetization: 0.000 μB per formula unit
data_Cd2Ag4Sn
_chemical_formula_sum 'Cd4 Ag8 Sn2'
_space_group_name_H-M_alt 'C 1 m 1'
_space_group_IT_number 8
_cell_length_a 5.3819
_cell_length_b 3.1068
_cell_length_c 16.8329
_cell_angle_alpha 90.00
_cell_angle_beta 90.12
_cell_angle_gamma 90.00
loop_
_space_group_symop_operation_xyz
'x,y,z'
'x,-y,z'
'x+1/2,y+1/2,z'
'x+1/2,-y+1/2,z'
loop_
_atom_site_label
_atom_site_fract_x
_atom_site_fract_y
_atom_site_fract_z
Cd1 0.0000 0.0000 0.0000
Cd2 0.0024 0.0000 0.2811
Ag1 0.1655 0.5000 0.8592
Ag2 0.1709 0.5000 0.5572
Ag3 0.3341 0.0000 0.1403
Ag4 0.3369 0.0000 0.4215
Sn1 0.0011 0.0000 0.7079

# Cd12Ag5Sn3 PBE-GGA optimized geometry
# * formation energy: 5.05 eV/f.u.
# * electronic total energy: -1.610 eV/atom
# * total magnetization: 0.000 μB per formula unit
data_Cd12Ag5Sn3
_chemical_formula_sum 'Cd96 Ag40 Sn24'
_space_group_name_H-M_alt 'I a -3 d'
_space_group_IT_number 230
_space_group_name_Hall '-I 4bd 2c 3'
_cell_length_a 16.6493
_cell_length_b 16.6493
_cell_length_c 16.6493
_cell_angle_alpha 90.00
_cell_angle_beta 90.00
_cell_angle_gamma 90.00
loop_
_atom_site_label
_atom_site_fract_x
_atom_site_fract_y
_atom_site_fract_z
Cd1 0.0182 0.0752 0.6491
Ag1 0.0000 0.0000 0.0000
Ag2 0.0000 0.2500 0.3750
Sn1 0.0000 0.2500 0.1250

# Cd2Ag7Sn2 PBE-GGA optimized geometry
# * E above lowest polymorph: 108.8 meV/atom
# * formation energy: 1.41 eV/f.u.
# * electronic total energy: -2.580 eV/atom
# * total magnetization: 0.000 μB per formula unit
data_Cd2Ag7Sn2
_chemical_formula_sum 'Cd4 Ag14 Sn4'
_space_group_name_H-M_alt 'C m m m'
_space_group_IT_number 65
_space_group_name_Hall '-C 2 2'
_cell_length_a 5.9185
_cell_length_b 10.1878
_cell_length_c 7.8959
_cell_angle_alpha 90.00
_cell_angle_beta 90.00
_cell_angle_gamma 90.00
loop_
_atom_site_label
_atom_site_fract_x
_atom_site_fract_y
_atom_site_fract_z
Cd1 0.0000 0.2313 0.0000
Ag1 0.0000 0.0000 0.1902
Ag2 0.0000 0.5000 0.0000
Ag3 0.2500 0.2500 0.3136
Sn1 0.2426 0.5000 0.5000

# Cd6AgSn PBE-GGA optimized geometry
# * E above lowest polymorph: 10.0 meV/atom
# * formation energy: 0.20 eV/f.u.
# * electronic total energy: -1.518 eV/atom
# * total magnetization: 0.000 μB per formula unit
data_Cd6AgSn
_chemical_formula_sum 'Cd6 Ag1 Sn1'
_space_group_name_H-M_alt 'P 4/m m m'
_space_group_IT_number 123
_space_group_name_Hall '-P 4 2'
_cell_length_a 4.4741
_cell_length_b 4.4741
_cell_length_c 8.9855
_cell_angle_alpha 90.00
_cell_angle_beta 90.00
_cell_angle_gamma 90.00
loop_
_atom_site_label
_atom_site_fract_x
_atom_site_fract_y
_atom_site_fract_z
Cd1 0.0000 0.0000 0.0000
Cd2 0.0000 0.0000 0.5000
Cd3 0.0000 0.5000 0.2326
Ag1 0.5000 0.5000 0.0000
Sn1 0.5000 0.5000 0.5000

# Cd2Ag4Sn PBE-GGA optimized geometry
# * E above lowest polymorph: 27.2 meV/atom
# * formation energy: 0.37 eV/f.u.
# * electronic total energy: -2.410 eV/atom
# * total magnetization: 0.000 μB per formula unit
data_Cd2Ag4Sn
_chemical_formula_sum 'Cd4 Ag8 Sn2'
_space_group_name_H-M_alt 'C 1 2/m 1'
_space_group_IT_number 12
_cell_length_a 5.7660
_cell_length_b 10.0844
_cell_length_c 5.7628
_cell_angle_alpha 90.00
_cell_angle_beta 119.23
_cell_angle_gamma 90.00
loop_
_space_group_symop_operation_xyz
'x,y,z'
'-x,-y,-z'
'-x,y,-z'
'x,-y,z'
'x+1/2,y+1/2,z'
'-x+1/2,-y+1/2,-z'
'-x+1/2,y+1/2,-z'
'x+1/2,-y+1/2,z'
loop_
_atom_site_label
_atom_site_fract_x
_atom_site_fract_y
_atom_site_fract_z
Cd1 0.0000 0.2491 0.0000
Ag1 0.0000 0.2995 0.5000
Ag2 0.1997 0.5000 0.9003
Sn1 0.0000 0.0000 0.5000

# CdAgSn2 PBE-GGA optimized geometry
# * formation energy: 0.22 eV/f.u.
# * electronic total energy: -2.887 eV/atom
# * total magnetization: 0.000 μB per formula unit
data_CdAgSn2
_chemical_formula_sum 'Cd1 Ag1 Sn2'
_space_group_name_H-M_alt 'P 4/m m m'
_space_group_IT_number 123
_space_group_name_Hall '-P 4 2'
_cell_length_a 3.2972
_cell_length_b 3.2972
_cell_length_c 8.8714
_cell_angle_alpha 90.00
_cell_angle_beta 90.00
_cell_angle_gamma 90.00
loop_
_atom_site_label
_atom_site_fract_x
_atom_site_fract_y
_atom_site_fract_z
Cd1 0.0000 0.0000 0.0000
Ag1 0.0000 0.0000 0.5000
Sn1 0.5000 0.5000 0.2733

# Cd3Ag7Sn2 PBE-GGA optimized geometry
# * E above lowest polymorph: 0.0 meV/atom
# * formation energy: 0.18 eV/f.u.
# * electronic total energy: -2.544 eV/atom
# * total magnetization: 0.000 μB per formula unit
data_Cd3Ag7Sn2
_chemical_formula_sum 'Cd3 Ag7 Sn2'
_space_group_name_H-M_alt 'P -1'
_space_group_IT_number 2
_cell_length_a 5.9215
_cell_length_b 6.0806
_cell_length_c 7.1664
_cell_angle_alpha 91.69
_cell_angle_beta 98.14
_cell_angle_gamma 106.33
loop_
_space_group_symop_operation_xyz
'x,y,z'
'-x,-y,-z'
loop_
_atom_site_label
_atom_site_fract_x
_atom_site_fract_y
_atom_site_fract_z
Cd1 0.0000 0.0000 0.0000
Cd2 0.3135 0.5813 0.3679
Ag1 0.0000 0.5000 0.0000
Ag2 0.1375 0.7993 0.6702
Ag3 0.1641 0.2960 0.6908
Ag4 0.3205 0.0781 0.3697
Sn1 0.4820 0.7418 0.9753

# Cd8Ag6Sn PBE-GGA optimized geometry
# * E above lowest polymorph: 0.0 meV/atom
# * formation energy: -0.08 eV/f.u.
# * electronic total energy: -1.900 eV/atom
# * total magnetization: 0.000 μB per formula unit
data_Cd8Ag6Sn
_chemical_formula_sum 'Cd24 Ag18 Sn3'
_space_group_name_H-M_alt 'R -3'
_space_group_IT_number 148
_space_group_name_Hall '-R 3'
_cell_length_a 8.1198
_cell_length_b 8.1198
_cell_length_c 17.4473
_cell_angle_alpha 90.00
_cell_angle_beta 90.00
_cell_angle_gamma 120.00
loop_
_atom_site_label
_atom_site_fract_x
_atom_site_fract_y
_atom_site_fract_z
Cd1 0.0000 0.0000 0.1604
Cd2 0.0024 0.6618 0.3781
Ag1 0.9997 0.3292 0.7852
Sn1 0.0000 0.0000 0.5000